{
  "formula": "Rb3UCu2Se6",
  "functional": "PBE-GGA",
  "state": "optimized geometry",
  "cell": [[8.3851, -1.1854, -0.1841], [-5.2173, 6.6705, -0.1841], [-1.2781, -2.2130, 7.7594]],
  "species": ["Se", "Rb", "U", "Se", "Se", "Rb", "Rb", "Se", "Cu", "Cu", "Se", "Se"],
  "fractional_positions": [[0.7987, 0.7987, 0.2393], [0.8235, 0.1765, 0.5000], [0.0000, 0.0000, 0.0000], [0.1482, 0.4129, 0.1695], [0.2013, 0.2013, 0.7607], [0.5000, 0.5000, 0.5000], [0.1765, 0.8235, 0.5000], [0.4129, 0.1482, 0.1695], [0.5842, 0.4158, 0.0000], [0.4158, 0.5842, 0.0000], [0.5871, 0.8518, 0.8305], [0.8518, 0.5871, 0.8305]],
  "e_tot_ev_per_atom": -4.415
}